A relaxed Ac2AsC crystal, computed with PBE-GGA.

a = 4.252 Å, b = 4.252 Å, c = 21.446 Å
α = 90.00°, β = 90.00°, γ = 120.00°
Fractional coordinates of all 12 atoms:
Ac 0.000 0.000 0.239
Ac 0.000 0.000 0.761
Ac 0.333 0.667 0.427
Ac 0.333 0.667 0.906
Ac 0.667 0.333 0.094
Ac 0.667 0.333 0.573
As 0.000 0.000 0.000
As 0.333 0.667 0.667
As 0.667 0.333 0.333
C 0.000 0.000 0.500
C 0.333 0.667 0.167
C 0.667 0.333 0.833

Summary:
- E_tot (eV per cell) = -70.64
- E above lowest polymorph (meV/atom) = 0.0
- formation energy from the elements (meV/atom) = -364
- DOS at the Fermi energy (states/eV/atom) = 1.172